# PBE Sm3Zn3Ge, optimized geometry
# Total magnetic moment in μB/cell: 0.0
# Calculated formation energy in eV/atom: -0.434
data_Sm3Zn3Ge
_cell_length_a 4.250
_cell_length_b 4.054
_cell_length_c 10.084
_cell_angle_alpha 101.60
_cell_angle_beta 102.16
_cell_angle_gamma 90.00
_symmetry_space_group_name_H-M 'P 1'
_symmetry_Int_Tables_number 1
loop_
_symmetry_equiv_pos_as_xyz
'x,y,z'
loop_
_atom_site_label
_atom_site_fract_x
_atom_site_fract_y
_atom_site_fract_z
Sm1 0.316 0.816 0.632
Sm2 0.690 0.190 0.380
Sm3 0.993 0.993 0.987
Zn1 0.139 0.639 0.278
Zn2 0.859 0.359 0.719
Zn3 0.566 0.566 0.132
Ge1 0.437 0.437 0.873